1.
A geometry-optimized MgAgRh2 structure, computed with GGA-PBE.

energy of formation = -0.34 eV/f.u.
final energy = -19.492 eV/cell

Unit cell a=3.8390 b=2.8744 c=6.4053 alpha=63.52 beta=90.00 gamma=90.00
Fractional coordinates of all 4 atoms:
1 Rh 0.5000 0.2782 0.2224
2 Rh 0.0000 0.9821 0.0172
3 Mg 0.5000 0.7432 0.7567
4 Ag 0.0000 0.4965 0.5038

---

2.
A geometry-optimized RbCaPuCl6 structure, computed with GGA-PBE.

final energy = -94.801 eV/cell
formation energy from raw total energies = -19.019 eV per formula unit

Unit cell a=7.2580 b=7.2580 c=14.1383 alpha=90.00 beta=90.00 gamma=120.00
Fractional coordinates of all 18 atoms:
1 Cl 0.3729 0.3705 0.3570
2 Cl 0.6295 0.0024 0.3570
3 Cl 0.3729 0.0024 0.1430
4 Cl 0.9976 0.3705 0.1430
5 Cl 0.0024 0.3729 0.6430
6 Cl 0.3705 0.3729 0.8570
7 Cl 0.9976 0.6271 0.3570
8 Cl 0.6271 0.9976 0.8570
9 Cl 0.6271 0.6295 0.6430
10 Cl 0.0024 0.6295 0.8570
11 Cl 0.6295 0.6271 0.1430
12 Cl 0.3705 0.9976 0.6430
13 Rb 0.0000 0.0000 0.0000
14 Rb 0.0000 0.0000 0.5000
15 Ca 0.3333 0.6667 0.2500
16 Ca 0.6667 0.3333 0.7500
17 Pu 0.3333 0.6667 0.7500
18 Pu 0.6667 0.3333 0.2500

---

3.
A geometry-optimized Re2SiCl structure, computed with GGA-PBE.

final energy = -30.163 eV/cell
formation energy from raw total energies = 2.003 eV per formula unit

Unit cell a=3.1295 b=3.1295 c=6.7170 alpha=90.00 beta=90.00 gamma=90.00
Fractional coordinates of all 4 atoms:
1 Re 0.0000 0.0000 0.4288
2 Re 0.0000 0.0000 0.0712
3 Si 0.5000 0.5000 0.2500
4 Cl 0.5000 0.5000 0.7500

---

4.
A geometry-optimized Tb2Nd8Y structure, computed with GGA-PBE.

energy of formation = 1.77 eV/f.u.
final energy = -52.096 eV/cell

Unit cell a=6.7479 b=10.4239 c=10.4239 alpha=38.33 beta=59.75 gamma=59.75
Fractional coordinates of all 11 atoms:
1 Nd 0.8298 0.2443 0.2443
2 Nd 0.1702 0.7557 0.7557
3 Nd 0.2727 0.4068 0.4068
4 Nd 0.2316 0.3496 0.8255
5 Nd 0.2316 0.8255 0.3496
6 Nd 0.7273 0.5932 0.5932
7 Nd 0.7684 0.6504 0.1745
8 Nd 0.7684 0.1745 0.6504
9 Tb 0.5877 0.8024 0.8024
10 Tb 0.4123 0.1976 0.1976
11 Y 0.0000 0.0000 0.0000